Below is Sm6PdRu2Br3 after structural relaxation, with properties calculated at the PBE level.

Volume   28.00 Å³ per atom
E_form (uncorrected)   -0.900 eV/atom
Fermi-level density of states   4.20 states/eV/cell
Space group   No. 12

a = 7.050 Å, b = 7.050 Å, c = 8.153 Å
α = 98.26°, β = 98.26°, γ = 120.02°
Positions (direct):
1 Sm 0.283 0.283 0.803
2 Sm 0.066 0.414 0.198
3 Br 0.169 0.831 0.500
4 Ru 0.333 0.667 0.000
5 Sm 0.414 0.066 0.198
6 Pd 0.000 0.000 0.000
7 Sm 0.586 0.934 0.802
8 Sm 0.717 0.717 0.197
9 Br 0.500 0.500 0.500
10 Ru 0.667 0.333 0.000
11 Sm 0.934 0.586 0.802
12 Br 0.831 0.169 0.500